A geometry-optimized NiPb3S structure. Source: the Alexandria database, functional PBEsol.

Structure (POSCAR):
```
NiPb3S
1.0
-4.047 -1.008 3.365
2.979 -3.706 2.473
1.862 3.738 3.359
Pb Ni S
3 1 1
direct
0.000 0.000 0.500
0.500 0.000 0.000
0.000 0.500 0.000
0.500 0.500 0.500
0.000 0.000 0.000
```

Summary:
The uncorrected formation energy comes out at 777 meV/atom. Its space-group type is Pm-3m (221). Its total energy is -3.730 eV/atom. For the total magnetization, the calculation gives 0.072 μB per atom.